No. 1
## K2HgTeS4 (GGA-PBE)

Data for crystalline K2HgTeS4 at its relaxed geometry.

Crystal system = monoclinic
Energy = -3.2384 eV/atom
Calculated volume = 432.2 Å³ per cell

POSCAR file:
```
K2HgTeS4
1.0
8.340 -0.363 -0.283
-0.369 8.340 -0.283
-4.105 -4.108 6.517
K S Te Hg
4 8 2 2
direct
0.000 0.000 0.500
0.500 0.500 0.000
0.500 0.000 0.000
0.500 0.000 0.500
0.753 0.305 0.493
0.764 0.770 0.559
0.195 0.747 0.007
0.247 0.695 0.507
0.270 0.264 0.059
0.730 0.736 0.941
0.236 0.230 0.441
0.805 0.253 0.993
0.500 0.500 0.500
0.000 0.000 0.000
0.000 0.500 0.000
0.000 0.500 0.500
```



No. 2
## CaTa2Hg (GGA-PBE)

Data for crystalline CaTa2Hg at its relaxed geometry.

Crystal system = tetragonal
Calculated volume = 83.7 Å³ per cell
Formation energy from the elements = 968 meV/atom

POSCAR file:
```
CaTa2Hg
1.0
-4.440 2.563 0.881
-0.816 -2.877 4.256
1.537 2.079 1.701
Ta Ca Hg
2 1 1
direct
0.000 0.000 0.000
0.500 0.500 0.000
0.500 0.000 0.500
0.000 0.500 0.500
```